(1)
VASP calculation (GGA-PBE) on a relaxed structure of Er4Bi2Rh.

## Properties
Space group: Pbam
Uncorrected energy in eV/atom: -5.46
E_form in eV/f.u.: -4.84

a = 7.861 Å, b = 12.166 Å, c = 4.360 Å
α = 90.00°, β = 90.00°, γ = 90.00°
Positions (direct):
Er1 0.126 0.197 0.000
Er2 0.211 0.941 0.500
Er3 0.289 0.441 0.500
Er4 0.374 0.697 0.000
Er5 0.626 0.303 0.000
Er6 0.711 0.559 0.500
Er7 0.789 0.059 0.500
Er8 0.874 0.803 0.000
Bi1 0.081 0.670 0.500
Bi2 0.419 0.170 0.500
Bi3 0.581 0.830 0.500
Bi4 0.919 0.330 0.500
Rh1 0.000 0.000 0.000
Rh2 0.500 0.500 0.000

(2)
VASP calculation (GGA-PBE) on a relaxed structure of Er2BiRh3.

## Properties
Space group: C2/c
Uncorrected energy in eV/atom: -6.35
E_form in eV/f.u.: -3.04

a = 7.403 Å, b = 7.403 Å, c = 6.594 Å
α = 103.14°, β = 103.14°, γ = 43.93°
Positions (direct):
Er1 0.164 0.186 0.084
Er2 0.186 0.164 0.584
Er3 0.814 0.836 0.416
Er4 0.836 0.814 0.916
Bi1 0.310 0.690 0.750
Bi2 0.690 0.310 0.250
Rh1 0.181 0.819 0.250
Rh2 0.342 0.362 0.421
Rh3 0.362 0.342 0.921
Rh4 0.638 0.658 0.079
Rh5 0.658 0.638 0.579
Rh6 0.819 0.181 0.750

(3)
VASP calculation (GGA-PBE) on a relaxed structure of Er12BiRh6.

## Properties
Space group: Im-3
Uncorrected energy in eV/atom: -6.07
E_form in eV/f.u.: -12.62

a = 8.527 Å, b = 8.527 Å, c = 8.527 Å
α = 109.47°, β = 109.47°, γ = 109.47°
Positions (direct):
Er1 0.111 0.303 0.809
Er2 0.191 0.494 0.303
Er3 0.191 0.889 0.697
Er4 0.303 0.191 0.494
Er5 0.303 0.809 0.111
Er6 0.494 0.303 0.191
Er7 0.506 0.697 0.809
Er8 0.697 0.191 0.889
Er9 0.697 0.809 0.506
Er10 0.809 0.111 0.303
Er11 0.809 0.506 0.697
Er12 0.889 0.697 0.191
Bi1 0.000 0.000 0.000
Rh1 0.131 0.500 0.631
Rh2 0.369 0.869 0.500
Rh3 0.500 0.369 0.869
Rh4 0.500 0.631 0.131
Rh5 0.631 0.131 0.500
Rh6 0.869 0.500 0.369

(4)
VASP calculation (GGA-PBE) on a relaxed structure of ErBiRh4.

## Properties
Space group: F-43m
Uncorrected energy in eV/atom: -6.70
E_form in eV/f.u.: -2.33

a = 5.336 Å, b = 5.336 Å, c = 5.336 Å
α = 60.00°, β = 60.00°, γ = 60.00°
Positions (direct):
Er1 0.000 0.000 0.000
Bi1 0.750 0.750 0.750
Rh1 0.375 0.375 0.375
Rh2 0.375 0.375 0.874
Rh3 0.375 0.874 0.375
Rh4 0.874 0.375 0.375